A relaxed Tb2Ti3Si4 crystal, computed with PBEsol.

```
Tb2Ti3Si4
1.0
6.9878 0.0000 0.0000
0.0000 6.9878 0.0000
0.0000 0.0000 12.8642
Tb Si Ti
8 16 12
Direct
0.8390 0.4969 0.2833 Tb
0.3390 0.0031 0.4667 Tb
0.5031 0.1610 0.2167 Tb
0.0031 0.3390 0.5333 Tb
0.9969 0.6610 0.0333 Tb
0.6610 0.9969 0.9667 Tb
0.4969 0.8390 0.7167 Tb
0.1610 0.5031 0.7833 Tb
0.8700 0.7978 0.8148 Si
0.6300 0.2978 0.4352 Si
0.1300 0.2022 0.3148 Si
0.3700 0.7022 0.9352 Si
0.4541 0.2086 0.8154 Si
0.2086 0.4541 0.1846 Si
0.2914 0.9541 0.0654 Si
0.7086 0.0459 0.5654 Si
0.2022 0.1300 0.6852 Si
0.7022 0.3700 0.0648 Si
0.0459 0.7086 0.4346 Si
0.7914 0.5459 0.6846 Si
0.2978 0.6300 0.5648 Si
0.7978 0.8700 0.1852 Si
0.5459 0.7914 0.3154 Si
0.9541 0.2914 0.9346 Si
0.8467 0.9925 0.3770 Ti
0.3277 0.3277 0.0000 Ti
0.6723 0.6723 0.5000 Ti
0.8277 0.1723 0.7500 Ti
0.3467 0.5075 0.3730 Ti
0.0075 0.1533 0.1230 Ti
0.9925 0.8467 0.6230 Ti
0.1533 0.0075 0.8770 Ti
0.5075 0.3467 0.6270 Ti
0.1723 0.8277 0.2500 Ti
0.6533 0.4925 0.8730 Ti
0.4925 0.6533 0.1270 Ti
```

crystal system = tetragonal
space group = P4_12_12 (92)
E_form (uncorrected) = -0.86 eV/atom
V = 17.45 Å³/atom
magnetization = 0.00 μB/atom


A relaxed CaTa2Fe crystal, computed with PBEsol.

```
CaTa2Fe
1.0
2.8991 0.0000 0.0000
0.0000 2.9000 0.0000
0.0000 0.0000 8.7905
Ta Fe Ca
2 1 1
Direct
0.0000 0.0000 0.6808 Ta
0.0000 0.0000 0.3192 Ta
0.5000 0.5000 0.5000 Fe
0.5000 0.5000 0.0000 Ca
```

energy relative to the elements = 0.402 eV/atom
crystal system = tetragonal
ΔE to the lowest computed polymorph = 0.0 meV/atom
space group = P4/mmm (123)
V = 18.48 Å³/atom
magnetization = 0.28 μB/atom


A relaxed K3Pd2O4 crystal, computed with PBEsol.

```
K3Pd2O4
1.0
5.5103 -0.0187 0.0000
-2.1275 5.0830 0.0000
0.0000 0.0000 11.2459
Pd O K
4 8 6
Direct
0.0000 0.0000 0.5000 Pd
0.0776 0.9224 0.7500 Pd
0.0000 0.0000 0.0000 Pd
0.9224 0.0776 0.2500 Pd
0.7036 0.8723 0.1146 O
0.8723 0.7036 0.8854 O
0.2964 0.1277 0.6146 O
0.8723 0.7036 0.6146 O
0.1277 0.2964 0.3854 O
0.7036 0.8723 0.3854 O
0.2964 0.1277 0.8854 O
0.1277 0.2964 0.1146 O
0.7134 0.2866 0.7500 K
0.2866 0.7134 0.2500 K
0.6475 0.3525 0.0676 K
0.3525 0.6475 0.9324 K
0.3525 0.6475 0.5676 K
0.6475 0.3525 0.4324 K
```

crystal system = orthorhombic
space group = Cmcm (63)
E_form (uncorrected) = -1.05 eV/atom
V = 17.47 Å³/atom
magnetization = 0.10 μB/atom


A relaxed RbCrCuF6 crystal, computed with PBEsol.

```
RbCrCuF6
1.0
-4.0827 -5.6289 0.5186
0.1240 -4.9024 -5.3576
3.1069 -6.4697 1.1150
F Rb Cu Cr
12 2 2 2
Direct
0.0555 0.1945 0.6945 F
0.9256 0.4183 0.3409 F
0.0744 0.1591 0.0817 F
0.3228 0.4272 0.9272 F
0.6847 0.1591 0.0817 F
0.6772 0.5728 0.0728 F
0.9256 0.8409 0.9183 F
0.3153 0.8409 0.9183 F
0.9445 0.8055 0.3055 F
0.6847 0.5817 0.6591 F
0.3153 0.4183 0.3409 F
0.0744 0.5817 0.6591 F
0.6030 0.1470 0.6470 Rb
0.3970 0.8530 0.3530 Rb
0.5000 0.5000 0.0000 Cu
0.0000 0.5000 0.0000 Cu
0.0000 0.0000 0.0000 Cr
0.0000 0.5000 0.5000 Cr
```

crystal system = orthorhombic
space group = Imma (74)
E_form (uncorrected) = -2.33 eV/atom
V = 14.77 Å³/atom
magnetization = 0.38 μB/atom


A relaxed Er3Al3CoGe2 crystal, computed with PBEsol.

```
Er3Al3CoGe2
1.0
4.0838 0.0000 0.0000
0.0000 6.8010 0.0000
0.0000 -3.4005 5.8898
Ge Co Er Al
2 1 3 3
Direct
0.5000 0.3333 0.6667 Ge
0.5000 0.6667 0.3333 Ge
0.0000 0.0000 0.0000 Co
0.0000 0.4026 0.4026 Er
0.0000 0.5974 0.0000 Er
0.0000 0.0000 0.5974 Er
0.5000 0.7717 0.7717 Al
0.5000 0.0000 0.2283 Al
0.5000 0.2283 0.0000 Al
```

energy relative to the elements = -0.782 eV/atom
crystal system = hexagonal
space group = P-62m (189)
V = 18.18 Å³/atom
magnetization = 0.00 μB/atom


A relaxed LiBi3Cl2O4 crystal, computed with PBEsol.

```
LiBi3Cl2O4
1.0
-1.5721 -5.1136 0.9631
4.6696 2.2251 4.0971
-7.6480 3.6224 6.7492
Bi Cl O Li
6 4 8 2
Direct
0.3456 0.6911 0.9914 Bi
0.1406 0.2813 0.7500 Bi
0.6544 0.3089 0.4914 Bi
0.3456 0.6911 0.5086 Bi
0.6544 0.3089 0.0086 Bi
0.8594 0.7187 0.2500 Bi
0.0000 0.0000 0.5000 Cl
0.0000 0.0000 0.0000 Cl
0.4932 0.9863 0.2500 Cl
0.5068 0.0137 0.7500 Cl
0.5127 0.5190 0.3759 O
0.9937 0.4810 0.6241 O
0.4873 0.4810 0.8759 O
0.0063 0.5190 0.1241 O
0.0063 0.5190 0.3759 O
0.9937 0.4810 0.8759 O
0.5127 0.5190 0.1241 O
0.4873 0.4810 0.6241 O
0.2142 0.4284 0.2500 Li
0.7858 0.5716 0.7500 Li
```

crystal system = orthorhombic
ΔE to the lowest computed polymorph = 0.0 meV/atom
space group = Cmcm (63)
E_form (uncorrected) = -1.43 eV/atom
V = 17.69 Å³/atom
magnetization = 0.00 μB/atom